CsVCl4 | PBE | relaxed

Output
Total DFT energy (no corrections), eV/atom: -4.329
Magnetic moment, μB per formula unit: 2.00
ΔE to the lowest computed polymorph, meV per atom: 31

Geometry as CIF:
```
data_CsVCl4
_cell_length_a 4.927
_cell_length_b 19.079
_cell_length_c 7.421
_cell_angle_alpha 90.00
_cell_angle_beta 90.00
_cell_angle_gamma 90.00
_symmetry_space_group_name_H-M 'C m c m'
_symmetry_Int_Tables_number 63
_symmetry_space_group_name_Hall '-C 2c 2'
loop_
_atom_site_label
_atom_site_fract_x
_atom_site_fract_y
_atom_site_fract_z
Cs1 0.000 0.113 0.250
V1 0.000 0.406 0.250
Cl1 0.000 0.078 0.750
Cl2 0.000 0.323 0.032
Cl3 0.000 0.500 0.000
```